(1)
4
Lattice="-1.401 2.180 4.593 1.401 -2.180 4.593 1.401 2.180 -4.593" Properties=species:S:1:pos:R:3 comment="SiRuPt2 (PBEsol, relaxed)" magnetic_moment_mub_per_cell=0.0 sg="No. 44" e_tot_ev_per_cell=-31.090 rho_g_cm3=15.369 pbc="T T T"
Si 0.000 0.000 0.000
Ru 0.000 2.180 2.710
Pt 1.401 0.000 1.965
Pt 0.000 0.000 4.650



(2)
4
Lattice="0.000 3.304 3.304 3.304 0.000 3.304 3.304 3.304 0.000" Properties=species:S:1:pos:R:3 comment="TiSn2Mo (PBEsol, relaxed)" magnetic_moment_mub_per_cell=0.0 sg="No. 225" e_tot_ev_per_cell=-28.448 rho_g_cm3=8.775 formation_energy_ev_per_fu=0.16 pbc="T T T"
Ti 0.000 0.000 0.000
Sn 1.652 1.652 1.652
Sn 4.956 4.956 4.956
Mo 3.304 3.304 3.304



(3)
4
Lattice="3.531 0.000 0.000 0.000 3.531 0.000 0.000 0.000 9.111" Properties=species:S:1:pos:R:3 comment="Y3In (PBEsol, relaxed)" magnetic_moment_mub_per_cell=0.0 sg="No. 123" e_tot_ev_per_cell=-24.541 rho_g_cm3=5.579 formation_energy_ev_per_fu=-1.09 pbc="T T T"
Y 0.000 0.000 0.000
Y 1.765 1.765 2.502
Y 1.765 1.765 6.608
In 0.000 0.000 4.555



(4)
4
Lattice="4.553 0.000 0.000 0.000 4.553 0.000 0.000 0.000 3.619" Properties=species:S:1:pos:R:3 comment="LaInRh2 (PBEsol, relaxed)" magnetic_moment_mub_per_cell=0.0 sg="No. 123" e_tot_ev_per_cell=-26.915 rho_g_cm3=10.173 formation_energy_ev_per_fu=-2.31 pbc="T T T"
La 0.000 0.000 0.000
In 2.276 2.276 0.000
Rh 0.000 2.276 1.810
Rh 2.276 0.000 1.810



(5)
5
Lattice="4.183 0.000 0.000 0.000 4.183 0.000 0.000 0.000 5.177" Properties=species:S:1:pos:R:3 comment="GaBiIO2 (PBEsol, relaxed)" magnetic_moment_mub_per_cell=0.0 sg="No. 123" e_tot_ev_per_cell=-20.677 rho_g_cm3=8.020 pbc="T T T"
Ga 0.000 0.000 0.000
Bi 2.092 2.092 2.589
I 0.000 0.000 2.589
O 0.000 2.092 0.000
O 2.092 0.000 0.000



(6)
4
Lattice="0.000 3.160 3.160 3.160 0.000 3.160 3.160 3.160 0.000" Properties=species:S:1:pos:R:3 comment="Sc2HPd (PBEsol, relaxed)" magnetic_moment_mub_per_cell=0.0 sg="No. 225" e_tot_ev_per_cell=-23.550 rho_g_cm3=5.193 pbc="T T T"
Sc 1.580 1.580 1.580
Sc 4.740 4.740 4.740
H 0.000 0.000 0.000
Pd 3.160 3.160 3.160



(7)
4
Lattice="3.155 0.000 0.000 0.000 3.155 0.000 0.000 0.000 6.284" Properties=species:S:1:pos:R:3 comment="Mn2CuPb (PBEsol, relaxed)" magnetic_moment_mub_per_cell=0.3 sg="No. 99" e_tot_ev_per_cell=-26.186 rho_g_cm3=10.106 formation_energy_ev_per_fu=1.67 pbc="T T T"
Mn 0.000 0.000 0.000
Mn 1.577 1.577 1.204
Cu 1.577 1.577 4.991
Pb 0.000 0.000 3.141



(8)
4
Lattice="3.686 0.000 0.000 0.000 3.686 0.000 0.000 0.000 3.839" Properties=species:S:1:pos:R:3 comment="Fe2CoHg (PBEsol, relaxed)" magnetic_moment_mub_per_cell=6.7 sg="No. 123" e_tot_ev_per_cell=-25.011 rho_g_cm3=11.817 formation_energy_ev_per_fu=1.22 pbc="T T T"
Fe 0.000 1.843 0.000
Fe 1.843 0.000 0.000
Co 0.000 0.000 1.919
Hg 1.843 1.843 1.919



(9)
4
Lattice="5.646 -2.166 0.000 5.646 2.166 0.000 -3.049 0.000 5.026" Properties=species:S:1:pos:R:3 comment="K2ZnSi (PBEsol, relaxed)" magnetic_moment_mub_per_cell=0.0 sg="No. 8" e_tot_ev_per_cell=-9.408 rho_g_cm3=2.319 pbc="T T T"
K 0.000 0.000 0.000
K -0.033 0.000 3.418
Zn 3.087 0.000 1.874
Si 8.072 0.000 1.482



(10)
5
Lattice="4.085 0.000 0.000 0.000 4.085 0.000 0.000 0.000 4.085" Properties=species:S:1:pos:R:3 comment="NaNi3Os (PBEsol, relaxed)" magnetic_moment_mub_per_cell=3.8 sg="No. 221" e_tot_ev_per_cell=-21.830 rho_g_cm3=9.483 formation_energy_ev_per_fu=10.26 pbc="T T T"
Na 0.000 0.000 0.000
Ni 0.000 0.000 2.042
Ni 0.000 2.042 0.000
Ni 2.042 0.000 0.000
Os 2.042 2.042 2.042



(11)
5
Lattice="6.309 0.000 0.000 0.000 6.309 0.000 0.000 0.000 6.309" Properties=species:S:1:pos:R:3 comment="Rb3MnS (PBEsol, relaxed)" magnetic_moment_mub_per_cell=4.6 sg="No. 221" e_tot_ev_per_cell=-16.436 rho_g_cm3=2.271 pbc="T T T"
Rb 0.000 0.000 3.154
Rb 0.000 3.154 0.000
Rb 3.154 0.000 0.000
Mn 3.154 3.154 3.154
S 0.000 0.000 0.000



(12)
3
Lattice="0.000 3.190 3.190 3.190 0.000 3.190 3.190 3.190 0.000" Properties=species:S:1:pos:R:3 comment="LaIr2 (PBEsol, relaxed)" magnetic_moment_mub_per_cell=0.0 sg="No. 225" e_tot_ev_per_cell=-22.838 rho_g_cm3=13.390 formation_energy_ev_per_fu=2.16 pbc="T T T"
La 0.000 0.000 0.000
Ir 1.595 1.595 1.595
Ir 4.784 4.784 4.784



(13)
5
Lattice="4.377 0.000 0.000 0.000 4.377 0.000 0.000 0.000 4.497" Properties=species:S:1:pos:R:3 comment="RbYO2F (PBEsol, relaxed)" magnetic_moment_mub_per_cell=1.0 sg="No. 123" e_tot_ev_per_cell=-33.337 rho_g_cm3=4.344 pbc="T T T"
Rb 0.000 0.000 0.000
Y 2.188 2.188 2.248
O 0.000 2.188 2.248
O 2.188 0.000 2.248
F 2.188 2.188 0.000



(14)
16
Lattice="6.151 0.000 0.000 0.000 7.674 0.000 0.000 0.000 8.058" Properties=species:S:1:pos:R:3 comment="ZnSb (PBEsol, relaxed)" magnetic_moment_mub_per_cell=0.0 sg="No. 61" e_tot_ev_per_cell=-49.129 rho_g_cm3=6.536 pbc="T T T"
Zn 0.247 0.808 1.021
Zn 0.247 3.029 5.050
Zn 2.829 4.645 1.021
Zn 2.829 6.866 5.050
Zn 3.322 0.808 3.008
Zn 3.322 3.029 7.038
Zn 5.905 4.645 3.008
Zn 5.905 6.866 7.038
Sb 0.880 4.485 7.168
Sb 0.880 7.026 3.139
Sb 2.195 0.648 7.168
Sb 2.195 3.189 3.139
Sb 3.956 4.485 4.919
Sb 3.956 7.026 0.890
Sb 5.271 0.648 4.919
Sb 5.271 3.189 0.890



(15)
4
Lattice="5.009 0.000 0.000 0.000 5.009 0.000 0.000 0.000 3.975" Properties=species:S:1:pos:R:3 comment="CaAgTe2 (PBEsol, relaxed)" magnetic_moment_mub_per_cell=0.0 sg="No. 123" e_tot_ev_per_cell=-14.901 rho_g_cm3=6.712 pbc="T T T"
Ca 0.000 0.000 0.000
Ag 2.504 2.504 0.000
Te 0.000 2.504 1.988
Te 2.504 0.000 1.988



(16)
3
Lattice="0.000 2.766 2.766 2.766 0.000 2.766 2.766 2.766 0.000" Properties=species:S:1:pos:R:3 comment="LiCrP (PBEsol, relaxed)" magnetic_moment_mub_per_cell=2.9 sg="No. 216" e_tot_ev_per_cell=-18.680 rho_g_cm3=3.528 formation_energy_ev_per_fu=-0.68 pbc="T T T"
Li 0.000 0.000 0.000
Cr 2.766 2.766 2.766
P 4.149 4.149 4.149



(17)
3
Lattice="4.189 0.000 0.000 -2.094 3.628 0.000 0.000 0.000 3.596" Properties=species:S:1:pos:R:3 comment="YAlFe (PBEsol, relaxed)" magnetic_moment_mub_per_cell=0.0 sg="No. 187" e_tot_ev_per_cell=-20.098 rho_g_cm3=5.218 formation_energy_ev_per_fu=-0.22 pbc="T T T"
Y 0.000 0.000 0.000
Al 2.094 1.209 1.798
Fe 0.000 2.419 1.798



(18)
5
Lattice="4.737 0.000 0.000 0.000 4.737 0.000 0.000 0.000 4.737" Properties=species:S:1:pos:R:3 comment="SbWCl3 (PBEsol, relaxed)" magnetic_moment_mub_per_cell=0.3 sg="No. 221" e_tot_ev_per_cell=-22.463 rho_g_cm3=6.434 pbc="T T T"
Sb 0.000 0.000 0.000
W 2.369 2.369 2.369
Cl 0.000 2.369 2.369
Cl 2.369 0.000 2.369
Cl 2.369 2.369 0.000



(19)
4
Lattice="3.102 0.000 0.000 0.000 4.632 0.000 0.000 0.000 4.632" Properties=species:S:1:pos:R:3 comment="YAsOs2 (PBEsol, relaxed)" magnetic_moment_mub_per_cell=0.0 sg="No. 47" e_tot_ev_per_cell=-35.402 rho_g_cm3=13.577 formation_energy_ev_per_fu=0.96 pbc="T T T"
Y 0.000 0.000 0.000
As 1.551 2.316 0.000
Os 0.000 2.316 2.316
Os 1.551 0.000 2.316



(20)
5
Lattice="4.172 0.000 0.000 -2.086 3.613 0.000 0.000 0.000 6.701" Properties=species:S:1:pos:R:3 comment="CeAl2Si2 (PBEsol, relaxed)" magnetic_moment_mub_per_cell=0.8 sg="No. 164" e_tot_ev_per_cell=-27.981 rho_g_cm3=4.115 pbc="T T T"
Ce 0.000 0.000 0.000
Al 0.000 2.408 4.300
Al 2.086 1.204 2.401
Si 0.000 2.408 1.752
Si 2.086 1.204 4.950



(21)
5
Lattice="4.995 0.000 0.000 0.000 4.995 0.000 0.000 0.000 4.903" Properties=species:S:1:pos:R:3 comment="SrInIrPt2 (PBEsol, relaxed)" magnetic_moment_mub_per_cell=0.5 sg="No. 123" e_tot_ev_per_cell=-27.459 rho_g_cm3=10.652 formation_energy_ev_per_fu=1.11 pbc="T T T"
Sr 0.000 0.000 0.000
In 2.498 2.498 0.000
Ir 2.498 2.498 2.452
Pt 0.000 2.498 2.452
Pt 2.498 0.000 2.452



(22)
36
Lattice="14.568 0.000 0.000 -7.284 12.616 0.000 0.000 0.000 4.364" Properties=species:S:1:pos:R:3 comment="Sr5Mg19Ge12 (PBEsol, relaxed)" magnetic_moment_mub_per_cell=0.0 sg="No. 189" e_tot_ev_per_cell=-116.225 rho_g_cm3=3.668 formation_energy_ev_per_fu=-15.13 pbc="T T T"
Sr -1.341 2.322 0.000
Sr 2.682 0.000 0.000
Sr 0.000 8.411 2.182
Sr 7.284 4.205 2.182
Sr 5.943 10.294 0.000
Mg 0.000 0.000 2.182
Mg -4.027 6.976 2.182
Mg -5.218 9.037 0.000
Mg -1.682 6.060 0.000
Mg -3.280 10.086 2.182
Mg 0.189 4.733 2.182
Mg 2.066 3.579 0.000
Mg -1.195 11.044 0.000
Mg 4.004 2.530 2.182
Mg 3.257 5.641 2.182
Mg 6.089 1.573 0.000
Mg 2.878 8.130 0.000
Mg 8.055 0.000 2.182
Mg 3.091 10.414 2.182
Mg 5.602 6.557 0.000
Mg 10.435 0.000 0.000
Mg 10.375 2.203 2.182
Mg 7.473 7.883 2.182
Mg 10.162 4.487 0.000
Ge -2.634 4.562 2.182
Ge -6.008 10.407 2.182
Ge -2.529 8.623 0.000
Ge 1.276 2.210 2.182
Ge 1.081 6.115 0.000
Ge 5.267 0.000 2.182
Ge 4.755 3.994 0.000
Ge 1.448 10.495 0.000
Ge 4.650 8.055 2.182
Ge 8.732 2.121 0.000
Ge 12.017 0.000 2.182
Ge 8.365 6.501 0.000



(23)
4
Lattice="2.797 0.000 0.000 0.000 3.880 0.000 0.000 0.000 4.298" Properties=species:S:1:pos:R:3 comment="Li2BePt (PBEsol, relaxed)" magnetic_moment_mub_per_cell=0.0 sg="No. 47" e_tot_ev_per_cell=-16.480 rho_g_cm3=7.761 formation_energy_ev_per_fu=-1.58 pbc="T T T"
Li 0.000 0.000 0.000
Li 1.398 1.940 0.000
Be 0.000 1.940 2.149
Pt 1.398 0.000 2.149



(24)
4
Lattice="4.299 -1.317 0.000 4.299 1.317 0.000 -0.866 0.000 4.443" Properties=species:S:1:pos:R:3 comment="MnFe2Ag (PBEsol, relaxed)" magnetic_moment_mub_per_cell=2.0 sg="No. 12" e_tot_ev_per_cell=-29.230 rho_g_cm3=9.063 e_above_lowest_polymorph_mev_per_atom=44 formation_energy_ev_per_fu=1.77 pbc="T T T"
Mn 0.000 0.000 0.000
Fe 1.533 0.000 3.459
Fe 6.199 0.000 0.984
Ag 3.866 0.000 2.221



(25)
5
Lattice="5.988 0.000 0.000 0.000 5.988 0.000 0.000 0.000 6.414" Properties=species:S:1:pos:R:3 comment="RbNa2CaHf (PBEsol, relaxed)" magnetic_moment_mub_per_cell=3.1 sg="No. 123" e_tot_ev_per_cell=-8.857 rho_g_cm3=2.528 formation_energy_ev_per_fu=7.60 pbc="T T T"
Rb 0.000 0.000 0.000
Na 0.000 2.994 3.207
Na 2.994 0.000 3.207
Ca 0.000 0.000 3.207
Hf 2.994 2.994 0.000



(26)
5
Lattice="4.436 0.000 0.000 0.000 4.436 0.000 0.000 0.000 4.635" Properties=species:S:1:pos:R:3 comment="CrRhCl2O (PBEsol, relaxed)" magnetic_moment_mub_per_cell=3.9 sg="No. 123" e_tot_ev_per_cell=-23.724 rho_g_cm3=4.402 pbc="T T T"
Cr 0.000 0.000 0.000
Rh 0.000 0.000 2.317
Cl 0.000 2.218 0.000
Cl 2.218 0.000 0.000
O 2.218 2.218 2.317



(27)
4
Lattice="-1.873 2.262 6.217 1.873 -2.262 6.217 1.873 2.262 -6.217" Properties=species:S:1:pos:R:3 comment="Ca2TlP (PBEsol, relaxed)" magnetic_moment_mub_per_cell=0.0 sg="No. 44" e_tot_ev_per_cell=-15.012 rho_g_cm3=4.973 e_above_lowest_polymorph_mev_per_atom=138 formation_energy_ev_per_fu=-2.32 pbc="T T T"
Ca 0.000 0.000 0.000
Ca 0.000 2.262 2.546
Tl 0.000 0.000 4.804
P 1.873 0.000 2.269



(28)
4
Lattice="1.656 -2.323 0.000 1.656 2.323 0.000 0.000 0.000 9.008" Properties=species:S:1:pos:R:3 comment="In2TcMo (PBEsol, relaxed)" magnetic_moment_mub_per_cell=0.0 sg="No. 65" e_tot_ev_per_cell=-27.093 rho_g_cm3=10.151 e_above_lowest_polymorph_mev_per_atom=232 formation_energy_ev_per_fu=1.91 pbc="T T T"
In 0.000 0.000 2.211
In 0.000 0.000 6.797
Tc 1.656 0.000 0.000
Mo 1.656 0.000 4.504